[1]
# InFe3Ge5 PBE-GGA optimized geometry
# Theoretical density: 6.86 g/cm3
# V: 17.4 Å³ per atom
# Space group: P6/mmm (191)
# VASP energy: -0.2060 Ha/atom
data_InFe3Ge5
_cell_length_a 4.866
_cell_length_b 4.866
_cell_length_c 7.617
_cell_angle_alpha 90.00
_cell_angle_beta 90.00
_cell_angle_gamma 120.00
_space_group_name_H-M_alt 'P 1'
_space_group_IT_number 1
loop_
_space_group_symop_operation_xyz
'x,y,z'
loop_
_atom_site_label
_atom_site_type_symbol
_atom_site_fract_x
_atom_site_fract_y
_atom_site_fract_z
In1 In 0.000 0.000 0.000
Fe1 Fe 0.000 0.500 0.500
Fe2 Fe 0.500 0.000 0.500
Fe3 Fe 0.500 0.500 0.500
Ge1 Ge 0.000 0.000 0.500
Ge2 Ge 0.333 0.667 0.223
Ge3 Ge 0.333 0.667 0.777
Ge4 Ge 0.667 0.333 0.223
Ge5 Ge 0.667 0.333 0.777



[2]
# InFeGe PBE-GGA optimized geometry
# Theoretical density: 7.25 g/cm3
# V: 18.6 Å³ per atom
# Space group: F-43m (216)
# VASP energy: -0.1833 Ha/atom
data_InFeGe
_cell_length_a 4.288
_cell_length_b 4.288
_cell_length_c 4.288
_cell_angle_alpha 60.00
_cell_angle_beta 60.00
_cell_angle_gamma 60.00
_space_group_name_H-M_alt 'P 1'
_space_group_IT_number 1
loop_
_space_group_symop_operation_xyz
'x,y,z'
loop_
_atom_site_label
_atom_site_type_symbol
_atom_site_fract_x
_atom_site_fract_y
_atom_site_fract_z
In1 In 0.000 0.000 0.000
Fe1 Fe 0.750 0.750 0.750
Ge1 Ge 0.500 0.500 0.500



[3]
# In2FeGe PBE-GGA optimized geometry
# Theoretical density: 7.88 g/cm3
# V: 18.9 Å³ per atom
# Space group: F-43m (216)
# VASP energy: -0.1496 Ha/atom
data_In2FeGe
_cell_length_a 4.743
_cell_length_b 4.743
_cell_length_c 4.743
_cell_angle_alpha 60.00
_cell_angle_beta 60.00
_cell_angle_gamma 60.00
_space_group_name_H-M_alt 'P 1'
_space_group_IT_number 1
loop_
_space_group_symop_operation_xyz
'x,y,z'
loop_
_atom_site_label
_atom_site_type_symbol
_atom_site_fract_x
_atom_site_fract_y
_atom_site_fract_z
In1 In 0.000 0.000 0.000
In2 In 0.250 0.250 0.250
Fe1 Fe 0.500 0.500 0.500
Ge1 Ge 0.750 0.750 0.750



[4]
# Lu4InFe2Ge4 PBE-GGA optimized geometry
# Theoretical density: 9.71 g/cm3
# V: 18.9 Å³ per atom
# Space group: C2/m (12)
# VASP energy: -0.2103 Ha/atom
data_Lu4InFe2Ge4
_cell_length_a 7.897
_cell_length_b 7.897
_cell_length_c 6.874
_cell_angle_alpha 106.73
_cell_angle_beta 106.73
_cell_angle_gamma 30.57
_space_group_name_H-M_alt 'P 1'
_space_group_IT_number 1
loop_
_space_group_symop_operation_xyz
'x,y,z'
loop_
_atom_site_label
_atom_site_type_symbol
_atom_site_fract_x
_atom_site_fract_y
_atom_site_fract_z
Lu1 Lu 0.092 0.092 0.392
Lu2 Lu 0.154 0.154 0.939
Lu3 Lu 0.846 0.846 0.061
Lu4 Lu 0.908 0.908 0.608
In1 In 0.500 0.500 0.000
Fe1 Fe 0.279 0.279 0.370
Fe2 Fe 0.721 0.721 0.630
Ge1 Ge 0.295 0.295 0.731
Ge2 Ge 0.431 0.431 0.340
Ge3 Ge 0.569 0.569 0.660
Ge4 Ge 0.705 0.705 0.269



[5]
# Pr4InFe2Ge4 PBE-GGA optimized geometry
# Theoretical density: 7.26 g/cm3
# V: 22.5 Å³ per atom
# Space group: C2/m (12)
# VASP energy: -0.2123 Ha/atom
data_Pr4InFe2Ge4
_cell_length_a 8.340
_cell_length_b 8.340
_cell_length_c 7.315
_cell_angle_alpha 106.87
_cell_angle_beta 106.87
_cell_angle_gamma 30.60
_space_group_name_H-M_alt 'P 1'
_space_group_IT_number 1
loop_
_space_group_symop_operation_xyz
'x,y,z'
loop_
_atom_site_label
_atom_site_type_symbol
_atom_site_fract_x
_atom_site_fract_y
_atom_site_fract_z
Pr1 Pr 0.090 0.090 0.381
Pr2 Pr 0.154 0.154 0.941
Pr3 Pr 0.846 0.846 0.059
Pr4 Pr 0.910 0.910 0.619
In1 In 0.500 0.500 0.000
Fe1 Fe 0.284 0.284 0.362
Fe2 Fe 0.716 0.716 0.638
Ge1 Ge 0.287 0.287 0.711
Ge2 Ge 0.432 0.432 0.344
Ge3 Ge 0.568 0.568 0.656
Ge4 Ge 0.713 0.713 0.289



[6]
# Y4InFe2Ge4 PBE-GGA optimized geometry
# Theoretical density: 6.63 g/cm3
# V: 19.9 Å³ per atom
# Space group: C2/m (12)
# VASP energy: -0.2375 Ha/atom
data_Y4InFe2Ge4
_cell_length_a 8.029
_cell_length_b 8.029
_cell_length_c 7.002
_cell_angle_alpha 106.48
_cell_angle_beta 106.48
_cell_angle_gamma 30.45
_space_group_name_H-M_alt 'P 1'
_space_group_IT_number 1
loop_
_space_group_symop_operation_xyz
'x,y,z'
loop_
_atom_site_label
_atom_site_type_symbol
_atom_site_fract_x
_atom_site_fract_y
_atom_site_fract_z
Y1 Y 0.090 0.090 0.387
Y2 Y 0.153 0.153 0.939
Y3 Y 0.847 0.847 0.061
Y4 Y 0.910 0.910 0.613
In1 In 0.500 0.500 0.000
Fe1 Fe 0.279 0.279 0.371
Fe2 Fe 0.721 0.721 0.629
Ge1 Ge 0.292 0.292 0.723
Ge2 Ge 0.431 0.431 0.342
Ge3 Ge 0.569 0.569 0.658
Ge4 Ge 0.708 0.708 0.277